Density functional theory data (PBE) for a relaxed structure of Pm2Sn3Hg3.

Formation energy from the elements: -0.482 eV per atom
V: 25.696 Å³/atom
Calculated total energy: -0.1207 Ha/atom
Fermi-level density of states: 3.9 states/eV/cell

Cell: 4.6701 4.8000 9.1705 Å, 90.00 90.00 90.00°
Closest atoms and distances in Å follow each position.
Space group Pmmm (No. 47)
Unique sites:
Pm (0.0000, 0.0000, 0.2469) x2  6 Sn 3.25-3.30, 6 Hg 3.34-3.35
Sn (0.0000, 0.5000, 0.0000) x1  4 Pm 3.30, 4 Hg 3.30, 4 Sn 3.35
Sn (0.5000, 0.0000, 0.0000) x1  4 Pm 3.25, 4 Hg 3.35, 4 Sn 3.35
Sn (0.5000, 0.0000, 0.5000) x1  8 Hg 3.29-3.35, 4 Pm 3.29
Hg (0.0000, 0.5000, 0.5000) x1  4 Hg 3.24, 4 Pm 3.34, 4 Sn 3.35
Hg (0.5000, 0.5000, 0.2543) x2  2 Hg 3.24, 6 Sn 3.29-3.35, 4 Pm 3.35

Density functional theory data (PBE) for a relaxed structure of Pm8Sn2Hg3.

Formation energy from the elements: -0.309 eV per atom
V: 31.687 Å³/atom
Calculated total energy: -0.1440 Ha/atom
Fermi-level density of states: 29.9 states/eV/cell

Cell: 9.1049 16.1262 5.6112 Å, 90.00 90.00 90.00°
Closest atoms and distances in Å follow each position.
Space group Cmmm (No. 65)
Unique sites:
Pm (0.0000, 0.1064, 0.0000) x4  4 Hg 3.29-3.37, 2 Sn 3.42, 2 Pm 3.43-3.49
Pm (0.0000, 0.3229, 0.0000) x4  2 Sn 3.19, 2 Hg 3.30, 5 Pm 3.49-3.57
Pm (0.2174, 0.3831, 0.5000) x8  2 Sn 3.14-3.19, 3 Hg 3.19-3.40
Sn (0.0000, 0.2281, 0.5000) x4  8 Pm 3.14-3.42
Hg (0.0000, 0.0000, 0.5000) x2  8 Pm 3.19-3.29
Hg (0.1821, 0.5000, 0.0000) x4  8 Pm 3.30-3.40, 1 Hg 3.32

Density functional theory data (PBE) for a relaxed structure of PmSnHg4.

Formation energy from the elements: -0.275 eV per atom
Offset from the most stable computed form: 0 meV/atom
V: 25.183 Å³/atom
Calculated total energy: -0.0711 Ha/atom
Fermi-level density of states: 5.0 states/eV/cell

Cell: 4.6075 14.0699 4.6616 Å, 90.00 90.00 90.00°
Closest atoms and distances in Å follow each position.
Space group Cmmm (No. 65)
Unique sites:
Pm (0.0000, 0.0000, 0.0000) x2  4 Sn 3.28, 8 Hg 3.31-3.33
Sn (0.0000, 0.5000, 0.5000) x2  4 Pm 3.28, 8 Hg 3.29-3.35
Hg (0.0000, 0.1674, 0.5000) x4  8 Hg 3.26-3.28, 2 Sn 3.29, 2 Pm 3.31
Hg (0.0000, 0.3290, 0.0000) x4  8 Hg 3.20-3.28, 2 Pm 3.33, 2 Sn 3.35

Density functional theory data (PBE) for a relaxed structure of PmSnHg4.

Formation energy from the elements: -0.066 eV per atom
Offset from the most stable computed form: 210 meV/atom
V: 29.826 Å³/atom
Calculated total energy: -0.0634 Ha/atom
Fermi-level density of states: 2.9 states/eV/cell

Cell: 4.6126 4.6126 8.4111 Å, 90.00 90.00 90.00°
Closest atoms and distances in Å follow each position.
Space group P4/mmm (No. 123)
Unique sites:
Pm (0.0000, 0.0000, 0.0000) x1  8 Hg 3.19
Sn (0.5000, 0.5000, 0.5000) x1  8 Hg 3.06
Hg (0.0000, 0.5000, 0.2618) x4  2 Sn 3.06, 2 Pm 3.19, 4 Hg 3.26

Density functional theory data (PBE) for a relaxed structure of Pm2SnHg4.

Formation energy from the elements: -0.392 eV per atom
Offset from the most stable computed form: 0 meV/atom
V: 26.422 Å³/atom
Calculated total energy: -0.0916 Ha/atom
Fermi-level density of states: 11.3 states/eV/cell

Cell: 5.2373 5.2373 23.3579 Å, 90.00 90.00 120.00°
Closest atoms and distances in Å follow each position.
Space group R-3m (No. 166, hexagonal axes)
Unique sites:
Pm (0.0000, 0.0000, 0.2240) x6  4 Hg 3.17-3.25, 3 Sn 3.31
Sn (0.0000, 0.0000, 0.5000) x3  2 Hg 3.19, 6 Pm 3.31
Hg (0.0000, 0.0000, 0.0691) x6  4 Hg 3.16-3.23, 3 Pm 3.17
Hg (0.0000, 0.0000, 0.3632) x6  6 Hg 3.16-3.33, 1 Sn 3.19, 1 Pm 3.25

Density functional theory data (PBE) for a relaxed structure of Pm8Sn2Hg.

Formation energy from the elements: -0.347 eV per atom
V: 31.644 Å³/atom
Calculated total energy: -0.1675 Ha/atom
Fermi-level density of states: 24.7 states/eV/cell

Cell: 19.7586 5.2292 6.9587 Å, 90.00 104.47 90.00°
Closest atoms and distances in Å follow each position.
Space group C2/m (No. 12)
Unique sites:
Pm (0.0166, 0.0000, 0.2703) x4  2 Hg 3.12, 1 Sn 3.26, 1 Pm 3.42
Pm (0.0935, 0.5000, 0.9808) x4  1 Hg 3.39, 2 Sn 3.43, 5 Pm 3.51-3.77
Pm (0.1571, 0.5000, 0.4985) x4  1 Hg 3.11, 3 Sn 3.21-3.25, 2 Pm 3.45
Pm (0.2140, 0.0000, 0.8214) x4  3 Sn 3.25-3.47, 2 Pm 3.45
Sn (0.1799, 0.0000, 0.2545) x4  9 Pm 3.21-3.47
Hg (0.0000, 0.5000, 0.5000) x2  8 Pm 3.11-3.39

Density functional theory data (PBE) for a relaxed structure of Pm12Sn5Hg2.

Formation energy from the elements: -0.340 eV per atom
V: 34.261 Å³/atom
Calculated total energy: -0.1626 Ha/atom
Fermi-level density of states: 43.7 states/eV/cell

Cell: 17.3563 7.7079 9.8337 Å, 90.00 98.26 90.00°
Closest atoms and distances in Å follow each position.
Space group C2/m (No. 12)
Unique sites:
Pm (0.0167, 0.0000, 0.3027) x4  2 Hg 3.27, 2 Sn 3.28-3.30
Pm (0.0279, 0.5000, 0.8230) x4  2 Hg 3.07, 1 Sn 3.14
Pm (0.1464, 0.2495, 0.5716) x8  4 Sn 3.14-3.25
Pm (0.1728, 0.2564, 0.1120) x8  1 Hg 3.09, 3 Sn 3.12-3.33
Sn (0.0000, 0.5000, 0.5000) x2  6 Pm 3.14-3.19
Sn (0.1671, 0.0000, 0.8401) x4  7 Pm 3.25-3.33
Sn (0.2078, 0.0000, 0.3590) x4  7 Pm 3.12-3.28
Hg (0.0000, 0.1835, 0.0000) x4  1 Hg 2.83, 4 Pm 3.07-3.09

Density functional theory data (PBE) for a relaxed structure of Pm5Sn4Hg2.

Formation energy from the elements: -0.278 eV per atom
V: 32.042 Å³/atom
Calculated total energy: -0.1451 Ha/atom
Fermi-level density of states: 20.2 states/eV/cell

Cell: 21.5536 4.2038 7.8471 Å, 90.00 97.49 90.00°
Closest atoms and distances in Å follow each position.
Space group C2/m (No. 12)
Unique sites:
Pm (0.0000, 0.0000, 0.0000) x2  6 Sn 3.21-3.45
Pm (0.1394, 0.5000, 0.4160) x4  1 Hg 3.04, 3 Sn 3.14-3.19
Pm (0.1591, 0.5000, 0.9615) x4  3 Hg 3.17-3.39, 2 Sn 3.18
Sn (0.0060, 0.5000, 0.6942) x4  3 Sn 2.89-3.02, 3 Pm 3.14-3.21
Sn (0.0976, 0.0000, 0.6852) x4  2 Sn 2.89, 1 Hg 2.93, 4 Pm 3.18-3.19
Hg (0.2348, 0.0000, 0.7193) x4  1 Sn 2.93, 2 Pm 3.04-3.17